The following is a PBE with a Hubbard U calculation of a relaxed VPdIF2 crystal, from the Alexandria database.

Mass density ... 5.46 Mg/m³
Magnetization ... 0.62 μB/atom
Raw total energy ... -4.27 eV per atom
Calculated volume ... 97.97 Å³/cell

Lattice parameters (Å, degrees): 4.1780 4.1780 5.6125 90.00 90.00 90.00
With the nearest neighbours (Å) after each atom.
Space group P4/mmm (No. 123)
Asymmetric unit:
1 V 0.0000 0.0000 0.0000  2 Pd 2.81, 4 I 2.95
2 Pd 0.0000 0.0000 0.5000  4 F 2.09
3 I 0.5000 0.5000 0.0000  4 V 2.95
4 F 0.0000 0.5000 0.5000  2 Pd 2.09